--- P ---
Compound: Pm3Nd3Th2
Source: Alexandria
Functional: PBE
Structure: optimized geometry

ρ in g/cm3: 8.11

Cell and atoms, written as CIF:
```
data_Pm3Nd3Th2
_symmetry_space_group_name_H-M 'P -1'
_symmetry_Int_Tables_number 2
_cell_length_a 6.304
_cell_length_b 6.305
_cell_length_c 8.142
_cell_angle_alpha 104.76
_cell_angle_beta 105.01
_cell_angle_gamma 109.66
loop_
_symmetry_equiv_pos_as_xyz
'x,y,z'
'-x,-y,-z'
loop_
_atom_site_label
_atom_site_type_symbol
_atom_site_fract_x
_atom_site_fract_y
_atom_site_fract_z
_atom_site_occupancy
Pm1 Pm 0.000 0.000 0.000 1
Pm2 Pm 0.130 0.630 0.260 1
Nd1 Nd 0.369 0.869 0.739 1
Nd2 Nd 0.500 0.500 0.000 1
Th1 Th 0.250 0.250 0.499 1
```


--- Q ---
Compound: Pm3Nd3Th2
Source: Alexandria
Functional: PBE
Structure: optimized geometry

ρ in g/cm3: 8.07

Cell and atoms, written as CIF:
```
data_Pm3Nd3Th2
_symmetry_space_group_name_H-M 'I m m m'
_symmetry_Int_Tables_number 71
_symmetry_space_group_name_Hall '-I 2 2'
_cell_length_a 5.119
_cell_length_b 5.120
_cell_length_c 20.908
_cell_angle_alpha 90.00
_cell_angle_beta 90.00
_cell_angle_gamma 90.00
loop_
_atom_site_label
_atom_site_type_symbol
_atom_site_fract_x
_atom_site_fract_y
_atom_site_fract_z
_atom_site_occupancy
Pm1 Pm 0.000 0.000 0.000 1
Pm2 Pm 0.000 0.500 0.130 1
Nd1 Nd 0.000 0.000 0.500 1
Nd2 Nd 0.000 0.500 0.371 1
Th1 Th 0.000 0.000 0.250 1
```


Preferred: Q; penalty for the next structure: 0.7 kJ/mol of atoms.


--- P ---
Compound: Pm3Nd2Th
Source: Alexandria
Functional: PBE
Structure: optimized geometry

ρ in g/cm3: 7.44

Cell and atoms, written as CIF:
```
data_Pm3Nd2Th
_symmetry_space_group_name_H-M 'I m m m'
_symmetry_Int_Tables_number 71
_symmetry_space_group_name_Hall '-I 2 2'
_cell_length_a 3.482
_cell_length_b 6.535
_cell_length_c 18.734
_cell_angle_alpha 90.00
_cell_angle_beta 90.00
_cell_angle_gamma 90.00
loop_
_atom_site_label
_atom_site_type_symbol
_atom_site_fract_x
_atom_site_fract_y
_atom_site_fract_z
_atom_site_occupancy
Pm1 Pm 0.000 0.000 0.000 1
Pm2 Pm 0.000 0.000 0.356 1
Nd1 Nd 0.000 0.500 0.306 1
Th1 Th 0.000 0.500 0.000 1
```


--- Q ---
Compound: Pm3Nd2Th
Source: Alexandria
Functional: PBE
Structure: optimized geometry

ρ in g/cm3: 7.69

Cell and atoms, written as CIF:
```
data_Pm3Nd2Th
_symmetry_space_group_name_H-M 'C 1 2/m 1'
_symmetry_Int_Tables_number 12
_cell_length_a 15.492
_cell_length_b 5.171
_cell_length_c 11.516
_cell_angle_alpha 90.00
_cell_angle_beta 116.57
_cell_angle_gamma 90.00
loop_
_symmetry_equiv_pos_as_xyz
'x,y,z'
'-x,-y,-z'
'-x,y,-z'
'x,-y,z'
'x+1/2,y+1/2,z'
'-x+1/2,-y+1/2,-z'
'-x+1/2,y+1/2,-z'
'x+1/2,-y+1/2,z'
loop_
_atom_site_label
_atom_site_type_symbol
_atom_site_fract_x
_atom_site_fract_y
_atom_site_fract_z
_atom_site_occupancy
Pm1 Pm 0.040 0.000 0.370 1
Pm2 Pm 0.120 0.000 0.121 1
Pm3 Pm 0.123 0.500 0.626 1
Nd1 Nd 0.206 0.500 0.373 1
Nd2 Nd 0.207 0.000 0.877 1
Th1 Th 0.040 0.500 0.878 1
```


Preferred: Q; penalty for the next structure: 30.7 kJ/mol of atoms.


--- P ---
Compound: Pm2NdTh
Source: Alexandria
Functional: PBE
Structure: optimized geometry

ρ in g/cm3: 8.16

Cell and atoms, written as CIF:
```
data_Pm2NdTh
_symmetry_space_group_name_H-M 'P 4/m m m'
_symmetry_Int_Tables_number 123
_symmetry_space_group_name_Hall '-P 4 2'
_cell_length_a 5.142
_cell_length_b 5.142
_cell_length_c 5.131
_cell_angle_alpha 90.00
_cell_angle_beta 90.00
_cell_angle_gamma 90.00
loop_
_atom_site_label
_atom_site_type_symbol
_atom_site_fract_x
_atom_site_fract_y
_atom_site_fract_z
_atom_site_occupancy
Pm1 Pm 0.000 0.500 0.000 1
Nd1 Nd 0.000 0.000 0.500 1
Th1 Th 0.500 0.500 0.500 1
```


--- Q ---
Compound: Pm2NdTh
Source: Alexandria
Functional: PBE
Structure: optimized geometry

ρ in g/cm3: 8.15

Cell and atoms, written as CIF:
```
data_Pm2NdTh
_symmetry_space_group_name_H-M 'P 63/m m c'
_symmetry_Int_Tables_number 194
_symmetry_space_group_name_Hall '-P 6c 2c'
_cell_length_a 3.6397
_cell_length_b 3.6397
_cell_length_c 23.6634
_cell_angle_alpha 90.00
_cell_angle_beta 90.00
_cell_angle_gamma 120.00
loop_
_atom_site_label
_atom_site_type_symbol
_atom_site_fract_x
_atom_site_fract_y
_atom_site_fract_z
_atom_site_occupancy
Pm1 Pm 0.3333 0.6667 0.1215 1
Nd1 Nd 0.3333 0.6667 0.7500 1
Th1 Th 0.0000 0.0000 0.0000 1
```


Preferred: Q; penalty for the next structure: 3.6 kJ/mol of atoms.


--- P ---
Compound: Pm2NdTh
Source: Alexandria
Functional: PBE
Structure: optimized geometry

ρ in g/cm3: 7.98

Cell and atoms, written as CIF:
```
data_Pm2NdTh
_symmetry_space_group_name_H-M 'R -3 m'
_symmetry_Int_Tables_number 166
_symmetry_space_group_name_Hall '-R 3 2"'
_cell_length_a 3.5685
_cell_length_b 3.5685
_cell_length_c 37.7023
_cell_angle_alpha 90.00
_cell_angle_beta 90.00
_cell_angle_gamma 120.00
loop_
_atom_site_label
_atom_site_type_symbol
_atom_site_fract_x
_atom_site_fract_y
_atom_site_fract_z
_atom_site_occupancy
Pm1 Pm 0.0000 0.0000 0.0915 1
Nd1 Nd 0.0000 0.0000 0.0000 1
Th1 Th 0.0000 0.0000 0.5000 1
```


--- Q ---
Compound: Pm2NdTh
Source: Alexandria
Functional: PBE
Structure: optimized geometry

ρ in g/cm3: 8.12

Cell and atoms, written as CIF:
```
data_Pm2NdTh
_symmetry_space_group_name_H-M 'F m -3 m'
_symmetry_Int_Tables_number 225
_symmetry_space_group_name_Hall '-F 4 2 3'
_cell_length_a 8.169
_cell_length_b 8.169
_cell_length_c 8.169
_cell_angle_alpha 90.00
_cell_angle_beta 90.00
_cell_angle_gamma 90.00
loop_
_atom_site_label
_atom_site_type_symbol
_atom_site_fract_x
_atom_site_fract_y
_atom_site_fract_z
_atom_site_occupancy
Pm1 Pm 0.250 0.250 0.250 1
Nd1 Nd 0.000 0.000 0.000 1
Th1 Th 0.000 0.000 0.500 1
```


--- R ---
Compound: Pm2NdTh
Source: Alexandria
Functional: PBE
Structure: optimized geometry

ρ in g/cm3: 8.11

Cell and atoms, written as CIF:
```
data_Pm2NdTh
_symmetry_space_group_name_H-M 'P 4/m m m'
_symmetry_Int_Tables_number 123
_symmetry_space_group_name_Hall '-P 4 2'
_cell_length_a 3.624
_cell_length_b 3.624
_cell_length_c 10.395
_cell_angle_alpha 90.00
_cell_angle_beta 90.00
_cell_angle_gamma 90.00
loop_
_atom_site_label
_atom_site_type_symbol
_atom_site_fract_x
_atom_site_fract_y
_atom_site_fract_z
_atom_site_occupancy
Pm1 Pm 0.000 0.000 0.238 1
Nd1 Nd 0.500 0.500 0.500 1
Th1 Th 0.500 0.500 0.000 1
```


Preferred: R; penalty for the next structure: 10.0 kJ/mol of atoms.


--- P ---
Compound: Pm2NdTh
Source: Alexandria
Functional: PBE
Structure: optimized geometry

ρ in g/cm3: 8.13

Cell and atoms, written as CIF:
```
data_Pm2NdTh
_symmetry_space_group_name_H-M 'R 3 m'
_symmetry_Int_Tables_number 160
_symmetry_space_group_name_Hall 'R 3 -2"'
_cell_length_a 3.6464
_cell_length_b 3.6464
_cell_length_c 35.4573
_cell_angle_alpha 90.00
_cell_angle_beta 90.00
_cell_angle_gamma 120.00
loop_
_atom_site_label
_atom_site_type_symbol
_atom_site_fract_x
_atom_site_fract_y
_atom_site_fract_z
_atom_site_occupancy
Pm1 Pm 0.0000 0.0000 0.0000 1
Pm2 Pm 0.0000 0.0000 0.1722 1
Nd1 Nd 0.0000 0.0000 0.4196 1
Th1 Th 0.0000 0.0000 0.5862 1
```


--- Q ---
Compound: Pm2NdTh
Source: Alexandria
Functional: PBE
Structure: optimized geometry

ρ in g/cm3: 8.11

Cell and atoms, written as CIF:
```
data_Pm2NdTh
_symmetry_space_group_name_H-M 'A m m 2'
_symmetry_Int_Tables_number 38
_cell_length_a 11.816
_cell_length_b 3.653
_cell_length_c 6.323
_cell_angle_alpha 90.00
_cell_angle_beta 90.00
_cell_angle_gamma 90.00
loop_
_symmetry_equiv_pos_as_xyz
'x,y,z'
'-x,-y,z'
'-x,y,z'
'x,-y,z'
'x,y+1/2,z+1/2'
'-x,-y+1/2,z+1/2'
'-x,y+1/2,z+1/2'
'x,-y+1/2,z+1/2'
loop_
_atom_site_label
_atom_site_type_symbol
_atom_site_fract_x
_atom_site_fract_y
_atom_site_fract_z
_atom_site_occupancy
Pm1 Pm 0.246 0.000 0.000 1
Nd1 Nd 0.500 0.000 0.667 1
Th1 Th 0.000 0.000 0.335 1
```


Preferred: P; penalty for the next structure: 2.3 kJ/mol of atoms.


--- P ---
Compound: PmNdTh2
Source: Alexandria
Functional: PBE
Structure: optimized geometry

ρ in g/cm3: 9.39

Cell and atoms, written as CIF:
```
data_PmNdTh2
_symmetry_space_group_name_H-M 'F m -3 m'
_symmetry_Int_Tables_number 225
_symmetry_space_group_name_Hall '-F 4 2 3'
_cell_length_a 8.107
_cell_length_b 8.107
_cell_length_c 8.107
_cell_angle_alpha 90.00
_cell_angle_beta 90.00
_cell_angle_gamma 90.00
loop_
_atom_site_label
_atom_site_type_symbol
_atom_site_fract_x
_atom_site_fract_y
_atom_site_fract_z
_atom_site_occupancy
Pm1 Pm 0.000 0.000 0.000 1
Nd1 Nd 0.000 0.000 0.500 1
Th1 Th 0.250 0.250 0.250 1
```


--- Q ---
Compound: PmNdTh2
Source: Alexandria
Functional: PBE
Structure: optimized geometry

ρ in g/cm3: 9.41

Cell and atoms, written as CIF:
```
data_PmNdTh2
_symmetry_space_group_name_H-M 'P 4/m m m'
_symmetry_Int_Tables_number 123
_symmetry_space_group_name_Hall '-P 4 2'
_cell_length_a 5.045
_cell_length_b 5.045
_cell_length_c 5.221
_cell_angle_alpha 90.00
_cell_angle_beta 90.00
_cell_angle_gamma 90.00
loop_
_atom_site_label
_atom_site_type_symbol
_atom_site_fract_x
_atom_site_fract_y
_atom_site_fract_z
_atom_site_occupancy
Pm1 Pm 0.000 0.000 0.000 1
Nd1 Nd 0.500 0.500 0.000 1
Th1 Th 0.000 0.500 0.500 1
```


Preferred: Q; penalty for the next structure: 12.0 kJ/mol of atoms.